A | A geometry-optimized Ge3BBr structure, computed with PBE.

Its space-group type is Pm-3m. The crystal system is cubic.

Cell: 5.1747 5.1747 5.1747 Å, 90.00 90.00 90.00°
Last column: nearest neighbours and their distance in Å.
Atoms (fractional coordinates):
B 0.5000 0.5000 0.5000  12 Ge 3.66
Ge 0.0000 0.0000 0.5000  2 Br 2.59
Ge 0.0000 0.5000 0.0000  2 Br 2.59
Ge 0.5000 0.0000 0.0000  2 Br 2.59
Br 0.0000 0.0000 0.0000  6 Ge 2.59

---

B | A geometry-optimized Ge3BBr structure, computed with PBE.

Its space-group type is Pm-3m. The crystal system is cubic.

Cell: 4.5844 4.5844 4.5844 Å, 90.00 90.00 90.00°
Last column: nearest neighbours and their distance in Å.
Atoms (fractional coordinates):
Ge 0.0000 0.0000 0.5000  2 B 2.29
Ge 0.5000 0.0000 0.0000  2 B 2.29
Ge 0.0000 0.5000 0.0000  2 B 2.29
B 0.0000 0.0000 0.0000  6 Ge 2.29
Br 0.5000 0.5000 0.5000  12 Ge 3.24

---

The relative energies come out as A 1081; B 0, with values in meV per atom.

---

A | A geometry-optimized GeB2Br structure, computed with PBE.

Its space-group type is I-42d. The crystal system is tetragonal.

Cell: 5.1618 5.1618 6.2744 Å, 65.71 65.71 90.00°
Last column: nearest neighbours and their distance in Å.
Atoms (fractional coordinates):
Ge 0.5000 0.5000 0.0000  4 B 2.05
Ge 0.2500 0.7500 0.5000  4 B 2.05
Br 0.7500 0.2500 0.5000  4 B 2.43
Br 0.0000 0.0000 0.0000  4 B 2.43
B 0.1893 0.6250 0.2500  2 Ge 2.05
B 0.3750 0.4393 0.7500  2 Ge 2.05
B 0.5607 0.1250 0.2500  2 Ge 2.05
B 0.8750 0.8107 0.7500  2 Ge 2.05

---

B | A geometry-optimized GeB2Br structure, computed with PBE.

Its space-group type is Fm-3m. The crystal system is cubic.

Cell: 4.3503 4.3503 4.3503 Å, 60.00 60.00 60.00°
Last column: nearest neighbours and their distance in Å.
Atoms (fractional coordinates):
Ge 0.0000 0.0000 0.0000  8 B 2.66
B 0.2500 0.2500 0.2500  4 Ge 2.66, 4 Br 2.66
B 0.7500 0.7500 0.7500  4 Ge 2.66, 4 Br 2.66
Br 0.5000 0.5000 0.5000  8 B 2.66

---

The relative energies come out as A 0; B 924, with values in meV per atom.

---

A | A geometry-optimized GeBSe2Br structure, computed with PBE.

Its space-group type is P4/mmm. The crystal system is tetragonal.

Cell: 4.5470 4.5470 4.7275 Å, 90.00 90.00 90.00°
Last column: nearest neighbours and their distance in Å.
Atoms (fractional coordinates):
Br 0.0000 0.0000 0.5000  2 B 2.36
Se 0.0000 0.5000 0.0000  2 B 2.27
Se 0.5000 0.0000 0.0000  2 B 2.27
Ge 0.5000 0.5000 0.5000  4 Br 3.22, 8 Se 3.28
B 0.0000 0.0000 0.0000  4 Se 2.27, 2 Br 2.36

---

B | A geometry-optimized GeBSe2Br structure, computed with PBE.

Its space-group type is P4/mmm. The crystal system is tetragonal.

Cell: 4.9825 4.9825 5.3758 Å, 90.00 90.00 90.00°
Last column: nearest neighbours and their distance in Å.
Atoms (fractional coordinates):
B 0.5000 0.5000 0.5000  4 Br 3.52, 8 Se 3.66
Br 0.0000 0.0000 0.5000  2 Ge 2.69
Se 0.0000 0.5000 0.0000  2 Ge 2.49
Se 0.5000 0.0000 0.0000  2 Ge 2.49
Ge 0.0000 0.0000 0.0000  4 Se 2.49, 2 Br 2.69

---

The relative energies come out as A 0; B 500, with values in meV per atom.

---

A | A geometry-optimized GeBSeBr2 structure, computed with PBE.

Its space-group type is P4/mmm. The crystal system is tetragonal.

Cell: 5.2819 5.2819 5.1068 Å, 90.00 90.00 90.00°
Last column: nearest neighbours and their distance in Å.
Atoms (fractional coordinates):
Se 0.0000 0.0000 0.5000  2 Ge 2.55
Br 0.5000 0.0000 0.0000  2 Ge 2.64
Br 0.0000 0.5000 0.0000  2 Ge 2.64
Ge 0.0000 0.0000 0.0000  2 Se 2.55, 4 Br 2.64
B 0.5000 0.5000 0.5000  8 Br 3.67, 4 Se 3.73

---

B | A geometry-optimized GeBSeBr2 structure, computed with PBE.

Its space-group type is P4/mmm. The crystal system is tetragonal.

Cell: 4.6062 4.6062 4.8503 Å, 90.00 90.00 90.00°
Last column: nearest neighbours and their distance in Å.
Atoms (fractional coordinates):
Se 0.0000 0.0000 0.5000  2 B 2.43
Br 0.5000 0.0000 0.0000  2 B 2.30
Br 0.0000 0.5000 0.0000  2 B 2.30
Ge 0.5000 0.5000 0.5000  4 Se 3.26, 8 Br 3.34
B 0.0000 0.0000 0.0000  4 Br 2.30, 2 Se 2.43

---

The relative energies come out as A 349; B 0, with values in meV per atom.

---

A | A geometry-optimized BH2Br structure, computed with PBE.

Its space-group type is I4_1/amd. The crystal system is tetragonal.

Cell: 4.8242 4.8242 4.8413 Å, 60.12 60.12 90.00°
Last column: nearest neighbours and their distance in Å.
Atoms (fractional coordinates):
Br 0.0000 0.0000 0.0000  12 H 2.83-2.84, 4 Br 2.96, 4 B 2.96
Br 0.7500 0.2500 0.5000  12 H 2.83-2.84, 4 Br 2.96, 4 B 2.96
H 0.3749 0.6250 0.2500  2 B 1.48
H 0.3750 0.6249 0.7500  2 B 1.48
H 0.8750 0.6251 0.7500  2 B 1.48
H 0.3751 0.1250 0.2500  2 B 1.48
B 0.5000 0.5000 0.0000  4 H 1.48
B 0.2500 0.7500 0.5000  4 H 1.48

---

B | A geometry-optimized BH2Br structure, computed with PBE.

Its space-group type is Pna2_1. The crystal system is orthorhombic.

Cell: 3.7754 6.1038 11.5138 Å, 90.00 90.00 90.00°
Last column: nearest neighbours and their distance in Å.
Atoms (fractional coordinates):
H 0.9528 0.2005 0.9026  1 B 1.19
H 0.4528 0.7995 0.0974  1 B 1.19
H 0.8446 0.9370 0.0133  2 B 1.32-1.38
H 0.8446 0.4370 0.4867  2 B 1.32-1.38
H 0.9528 0.7005 0.5974  1 B 1.19
H 0.4528 0.2995 0.4026  1 B 1.19
H 0.3446 0.0630 0.9867  2 B 1.32-1.38
H 0.3446 0.5630 0.5133  2 B 1.32-1.38
Br 0.4546 0.1936 0.6351  1 B 1.92
Br 0.9546 0.8064 0.3649  1 B 1.92
Br 0.9546 0.3064 0.1351  1 B 1.92
Br 0.4546 0.6936 0.8649  1 B 1.92
B 0.9977 0.6285 0.5021  2 H 1.19-1.32
B 0.4977 0.3715 0.4979  2 H 1.19-1.32
B 0.9977 0.1285 0.9979  2 H 1.19-1.32
B 0.4977 0.8715 0.0021  2 H 1.19-1.32

---

C | A geometry-optimized BH2Br structure, computed with PBE.

Its space-group type is Fm-3m. The crystal system is cubic.

Cell: 3.8276 3.8276 3.8276 Å, 60.00 60.00 60.00°
Last column: nearest neighbours and their distance in Å.
Atoms (fractional coordinates):
B 0.0000 0.0000 0.0000  8 H 2.34
H 0.2500 0.2500 0.2500  4 Br 2.34, 4 B 2.34
H 0.7500 0.7500 0.7500  4 Br 2.34, 4 B 2.34
Br 0.5000 0.5000 0.5000  8 H 2.34

---

The relative energies come out as A 837; B 0; C 1925, with values in meV per atom.

---

A | A geometry-optimized B2HBr structure, computed with PBE.

Its space-group type is Fm-3m. The crystal system is cubic.

Cell: 3.9240 3.9240 3.9240 Å, 60.00 60.00 60.00°
Last column: nearest neighbours and their distance in Å.
Atoms (fractional coordinates):
H 0.0000 0.0000 0.0000  8 B 2.40
B 0.7500 0.7500 0.7500  4 H 2.40, 4 Br 2.40
B 0.2500 0.2500 0.2500  4 H 2.40, 4 Br 2.40
Br 0.5000 0.5000 0.5000  8 B 2.40

---

B | A geometry-optimized B2HBr structure, computed with PBE.

Its space-group type is I4_1/amd. The crystal system is tetragonal.

Cell: 3.1379 3.1379 11.4902 Å, 82.15 82.15 90.00°
Last column: nearest neighbours and their distance in Å.
Atoms (fractional coordinates):
Br 0.0000 0.0000 0.0000  4 H 2.22
Br 0.7500 0.2500 0.5000  4 H 2.22
B 0.3749 0.6250 0.2500  2 B 1.57
B 0.3750 0.6249 0.7500  2 B 1.57
B 0.8750 0.6251 0.7500  2 B 1.57
B 0.3751 0.1250 0.2500  2 B 1.57
H 0.2500 0.7500 0.5000  4 Br 2.22
H 0.5000 0.5000 0.0000  4 Br 2.22

---

The relative energies come out as A 1207; B 0, with values in meV per atom.

---

A | A geometry-optimized BHSe2Br structure, computed with PBE.

Its space-group type is P4/mmm. The crystal system is tetragonal.

Cell: 3.8618 3.8618 7.7389 Å, 90.00 90.00 90.00°
Last column: nearest neighbours and their distance in Å.
Atoms (fractional coordinates):
H 0.0000 0.0000 0.0000  4 Se 1.93
Se 0.5000 0.0000 0.0000  2 H 1.93
Se 0.0000 0.5000 0.0000  2 H 1.93
Br 0.0000 0.0000 0.5000  4 B 2.73
B 0.5000 0.5000 0.5000  4 Br 2.73

---

B | A geometry-optimized BHSe2Br structure, computed with PBE.

Its space-group type is P4/mmm. The crystal system is tetragonal.

Cell: 4.4065 4.4065 4.9992 Å, 90.00 90.00 90.00°
Last column: nearest neighbours and their distance in Å.
Atoms (fractional coordinates):
B 0.0000 0.0000 0.0000  4 Se 2.20
Se 0.5000 0.0000 0.0000  2 B 2.20
Se 0.0000 0.5000 0.0000  2 B 2.20
H 0.5000 0.5000 0.5000  4 Br 3.12, 8 Se 3.33
Br 0.0000 0.0000 0.5000  2 B 2.50

---

The relative energies come out as A 0; B 46, with values in meV per atom.

---

A | A geometry-optimized SrB2HBr structure, computed with PBE.

Its space-group type is P4/mmm. The crystal system is tetragonal.

Cell: 4.1306 4.9739 4.1306 Å, 90.00 90.00 90.00°
Last column: nearest neighbours and their distance in Å.
Atoms (fractional coordinates):
B 0.0000 0.0000 0.5000  2 H 2.07
B 0.5000 0.0000 0.0000  2 H 2.07
Sr 0.0000 0.5000 0.0000  2 H 2.49
Br 0.5000 0.5000 0.5000  4 Sr 2.92, 8 B 3.23
H 0.0000 0.0000 0.0000  4 B 2.07

---

B | A geometry-optimized SrB2HBr structure, computed with PBE.

Its space-group type is P4/mmm. The crystal system is tetragonal.

Cell: 5.8211 5.9310 5.8211 Å, 90.00 90.00 90.00°
Last column: nearest neighbours and their distance in Å.
Atoms (fractional coordinates):
B 0.0000 0.0000 0.5000  2 Sr 2.91
B 0.5000 0.0000 0.0000  2 Sr 2.91
Sr 0.0000 0.0000 0.0000  4 B 2.91, 2 Br 2.97
H 0.5000 0.5000 0.5000  4 Br 4.12, 8 B 4.16
Br 0.0000 0.5000 0.0000  2 Sr 2.97

---

The relative energies come out as A 0; B 781, with values in meV per atom.